[1]
{"formula": "NdSn4Pd2Rh", "functional": "GGA-PBE", "state": "relaxed", "lattice": [[-1.8871, -3.8061, -1.7374], [1.6145, -4.1217, 1.2130], [-6.1039, -2.9060, 6.9334]], "species": ["Sn", "Sn", "Sn", "Sn", "Nd", "Rh", "Pd", "Pd"], "frac_coords": [[0.8696, 0.8696, 0.3913], [0.1304, 0.1304, 0.6087], [0.3967, 0.3967, 0.8099], [0.6033, 0.6033, 0.1901], [0.0000, 0.0000, 0.0000], [0.5000, 0.5000, 0.5000], [0.7604, 0.7604, 0.7189], [0.2396, 0.2396, 0.2811]], "e_form_ev_per_atom": -0.52, "m_tot_mub_per_cell": 0.00, "volume_a3_per_cell": 170, "e_tot_ev_per_fu": -42.66, "spacegroup": "R-3m (166)"}


[2]
{"formula": "LaTeP", "functional": "GGA-PBE", "state": "relaxed", "lattice": [[0.3314, -2.2067, 5.5919], [2.2051, 3.2447, 4.5671], [-3.9505, 0.5090, -4.5149]], "species": ["Te", "La", "P"], "frac_coords": [[0.3630, 0.3630, 0.0000], [0.0324, 0.0324, 0.0000], [0.6046, 0.6046, 0.0000]], "raw_formation_energy_mev_per_atom": -1006, "m_tot_mub_per_cell": 0.00, "volume_a3_per_cell": 90, "e_tot_ev_per_fu": -16.50, "spacegroup": "I4mm (107)"}


[3]
{"formula": "Pm4Dy8Ho3", "functional": "GGA-PBE", "state": "relaxed", "lattice": [[6.1136, 0.0000, 3.2972], [2.1677, 5.7164, 3.2972], [-2.5663, -1.7715, 12.0750]], "species": ["Dy", "Dy", "Dy", "Dy", "Dy", "Dy", "Dy", "Dy", "Ho", "Ho", "Ho", "Pm", "Pm", "Pm", "Pm"], "frac_coords": [[0.2503, 0.2503, 0.7464], [0.2449, 0.2449, 0.2654], [0.2470, 0.7497, 0.2536], [0.7497, 0.7497, 0.2536], [0.7551, 0.7551, 0.7346], [0.2503, 0.7530, 0.7464], [0.7497, 0.2470, 0.2536], [0.7530, 0.2503, 0.7464], [0.0000, 0.0000, 0.5000], [0.5000, 0.0000, 0.5000], [0.0000, 0.5000, 0.5000], [0.6635, 0.6635, 0.0096], [0.5000, 0.5000, 0.5000], [0.3365, 0.3365, 0.9904], [0.0000, 0.0000, 0.0000]], "e_form_ev_per_atom": 0.12, "m_tot_mub_per_cell": 0.00, "volume_a3_per_cell": 493, "e_tot_ev_per_fu": -67.70, "spacegroup": "R-3m (166)"}


[4]
{"formula": "BaAgMo2", "functional": "GGA-PBE", "state": "relaxed", "lattice": [[-0.6653, 0.2536, 4.7866], [-2.8960, 3.3999, 1.8637], [-4.2656, -1.2412, 1.9192]], "species": ["Ba", "Mo", "Mo", "Ag"], "frac_coords": [[0.5000, 0.5000, 0.5000], [0.7500, 0.7500, 0.7500], [0.2500, 0.2500, 0.2500], [0.0000, 0.0000, 0.0000]], "e_form_ev_per_atom": 1.50, "m_tot_mub_per_cell": 0.00, "volume_a3_per_cell": 80, "e_tot_ev_per_fu": -20.42, "spacegroup": "Fm-3m (225)"}